(1)
The following is a DFT calculation (PBE-GGA) of Rb2SeN2 after structural relaxation.

Computed properties:
**Symmetry**: C2/c (15)

a b c (Å): 5.867 5.867 10.135
angles (deg): 107.06 107.06 60.41
Sites, in units of the cell vectors:
Rb 0.121 0.630 0.875
Rb 0.370 0.879 0.625
Rb 0.630 0.121 0.375
Rb 0.879 0.370 0.125
Se 0.254 0.746 0.250
Se 0.746 0.254 0.750
N 0.097 0.441 0.480
N 0.441 0.097 0.980
N 0.559 0.903 0.020
N 0.903 0.559 0.520

***

(2)
The following is a DFT calculation (PBE-GGA) of NaTeRu3 after structural relaxation.

Computed properties:
**D(E_F)**: 8.03 states/eV/cell
**Symmetry**: Pm-3m (221)
**Distance to the lowest polymorph of the same formula**: 3.99 eV/f.u.

a b c (Å): 4.510 4.510 4.510
angles (deg): 90.00 90.00 90.00
Sites, in units of the cell vectors:
Na 0.000 0.000 0.000
Te 0.500 0.500 0.500
Ru 0.000 0.000 0.500
Ru 0.000 0.500 0.000
Ru 0.500 0.000 0.000

***

(3)
The following is a DFT calculation (PBE-GGA) of Hf4AgS after structural relaxation.

Computed properties:
**D(E_F)**: 2.90 states/eV/cell
**Symmetry**: C2/m (12)

a b c (Å): 7.191 7.191 5.854
angles (deg): 113.87 113.87 26.77
Sites, in units of the cell vectors:
Hf 0.155 0.155 0.321
Hf 0.339 0.339 0.170
Hf 0.661 0.661 0.830
Hf 0.845 0.845 0.679
Ag 0.000 0.000 0.500
S 0.500 0.500 0.000

***

(4)
The following is a DFT calculation (PBE-GGA) of AsPt2Br after structural relaxation.

Computed properties:
**D(E_F)**: 1.03 states/eV/cell
**Symmetry**: P4/mmm (123)
**Distance to the lowest polymorph of the same formula**: 1.62 eV/f.u.

a b c (Å): 3.318 3.318 6.789
angles (deg): 90.00 90.00 90.00
Sites, in units of the cell vectors:
As 0.000 0.000 0.000
Pt 0.500 0.500 0.201
Pt 0.500 0.500 0.799
Br 0.000 0.000 0.500

***

In kJ per mole of atoms, the uncorrected formation energy values for the records above are, in order, -59, 201, -31, 23.